(1)
Compound: CeTa3O9
Source: Alexandria via LeMat-Bulk
Functional: PBE-GGA
Structure: relaxed

Calculated total energy: -9.63 eV/atom
Formation energy (no corrections): -39.04 eV per formula unit
Total moment: 0.08 μB per atom

Cell: 5.4519 7.6276 8.3321 Å, 90.00 92.50 90.00°
Last column: nearest neighbours and their distance in Å.
Fractional positions:
O  0.8422  0.4454  0.2112  2 Ta 1.97-2.04
Ce  0.9652  0.7500  0.5652  8 O 2.46-2.57
O  0.8422  0.0546  0.2112  2 Ta 1.97-2.04
O  0.5594  0.7500  0.6853  2 Ta 2.02
O  0.2641  0.9624  0.4683  2 Ta 2.05-2.21
O  0.9182  0.7500  0.0152  2 Ta 1.96
Ta  0.0000  0.0000  0.0000  6 O 1.96-2.04
Ta  0.5263  0.9935  0.3020  5 O 1.86-2.05
Ta  0.5263  0.5065  0.3020  5 O 1.86-2.05
O  0.3163  0.9536  0.1239  2 Ta 1.86-2.00
O  0.2641  0.5376  0.4683  2 Ta 2.05-2.21
O  0.0818  0.2500  0.9848  2 Ta 1.96
O  0.3163  0.5464  0.1239  2 Ta 1.86-2.00
O  0.4406  0.2500  0.3147  2 Ta 2.02
O  0.7359  0.0376  0.5317  2 Ta 2.05-2.21
O  0.7359  0.4624  0.5317  2 Ta 2.05-2.21
Ta  0.0000  0.5000  0.0000  6 O 1.96-2.04
Ce  0.0348  0.2500  0.4348  8 O 2.46-2.57
Ta  0.4737  0.0065  0.6980  5 O 1.86-2.05
O  0.6441  0.7500  0.3403  2 Ta 1.99
O  0.1578  0.9454  0.7888  2 Ta 1.97-2.04
Ta  0.4737  0.4935  0.6980  5 O 1.86-2.05
O  0.6837  0.4536  0.8761  2 Ta 1.86-2.00
O  0.1578  0.5546  0.7888  2 Ta 1.97-2.04
O  0.3559  0.2500  0.6597  2 Ta 1.99
O  0.6837  0.0464  0.8761  2 Ta 1.86-2.00

(2)
Compound: CeTa3O9
Source: Alexandria via LeMat-Bulk
Functional: PBE-GGA
Structure: relaxed

Calculated total energy: -9.61 eV/atom
Formation energy (no corrections): -38.78 eV per formula unit
Total moment: 0.07 μB per atom

Cell: 7.3741 7.3741 6.6119 Å, 86.61 86.61 62.89°
Last column: nearest neighbours and their distance in Å.
Fractional positions:
O  0.1836  0.6350  0.0673  2 Ta 1.99-2.10
Ce  0.2648  0.2648  0.0507  8 O 2.45-2.60
O  0.3650  0.8164  0.9327  2 Ta 1.99-2.10
O  0.9315  0.9315  0.7985  2 Ta 1.99
O  0.8164  0.3650  0.9327  2 Ta 1.99-2.10
Ta  0.7819  0.2844  0.2376  5 O 1.93-2.10
Ta  0.5000  0.0000  0.5000  6 O 1.98-2.01
O  0.0774  0.5083  0.7803  2 Ta 1.98-2.20
Ta  0.0000  0.5000  0.5000  6 O 1.98-2.01
O  0.7317  0.7317  0.5746  2 Ta 1.99
O  0.6350  0.1836  0.0673  2 Ta 1.99-2.10
Ta  0.7156  0.2181  0.7624  5 O 1.93-2.10
O  0.3093  0.8740  0.5475  3 Ta 2.01-2.24
O  0.9226  0.4917  0.2197  2 Ta 1.98-2.20
O  0.5400  0.5400  0.2753  2 Ta 1.93
O  0.0685  0.0685  0.2015  2 Ta 1.99
O  0.4600  0.4600  0.7247  2 Ta 1.93
O  0.2683  0.2683  0.4254  2 Ta 1.99
O  0.8740  0.3093  0.5475  3 Ta 2.01-2.24
O  0.6907  0.1260  0.4525  3 Ta 2.01-2.24
O  0.4917  0.9226  0.2197  2 Ta 1.98-2.20
O  0.1260  0.6907  0.4525  3 Ta 2.01-2.24
Ta  0.2181  0.7156  0.7624  5 O 1.93-2.10
O  0.5083  0.0774  0.7803  2 Ta 1.98-2.20
Ce  0.7352  0.7352  0.9493  8 O 2.45-2.60
Ta  0.2844  0.7819  0.2376  5 O 1.93-2.10

(3)
Compound: Tb2CeTaO8
Source: Alexandria via LeMat-Bulk
Functional: PBE-GGA
Structure: relaxed

Calculated total energy: -8.65 eV/atom
Formation energy (no corrections): -37.09 eV per formula unit
Total moment: 0.07 μB per atom

Cell: 5.0721 5.0714 6.9293 Å, 90.00 90.00 91.27°
Last column: nearest neighbours and their distance in Å.
Fractional positions:
O  0.6977  0.6987  0.5000  1 Ce 2.14, 2 Tb 2.27
O  0.3023  0.3013  0.5000  1 Ce 2.14, 2 Tb 2.27
Tb  0.5000  0.5000  0.2436  6 O 2.27-2.30
O  0.8173  0.1833  0.2193  1 Ta 2.02
O  0.7179  0.7185  0.0000  1 Ta 2.00
O  0.1827  0.8167  0.2193  1 Ta 2.02
O  0.1827  0.8167  0.7807  1 Ta 2.02
O  0.8173  0.1833  0.7807  1 Ta 2.02
Ce  0.0000  0.0000  0.5000  6 O 2.14-2.35
Ta  0.0000  0.0000  0.0000  6 O 2.00-2.02
O  0.2821  0.2815  0.0000  1 Ta 2.00
Tb  0.5000  0.5000  0.7564  6 O 2.27-2.30

- Among the records above, which one has the highest total moment?
  number 1